(1)
Compound: BeTeW2
Source: the Alexandria database
Functional: PBE
Structure: relaxed

Properties
**Energy relative to the elements, uncorrected**: 0.82 eV/atom
**N(E_F)**: 5.257 states/eV/f.u.

The structure in POSCAR format:
```
BeTeW2
1.0
0.000 3.153 3.153
3.153 0.000 3.153
3.153 3.153 0.000
W Be Te
2 1 1
Cartesian
4.730 4.730 4.730
1.577 1.577 1.577
0.000 0.000 0.000
3.153 3.153 3.153
```

=====

(2)
Compound: Ta2VSe
Source: the Alexandria database
Functional: PBE
Structure: relaxed

Properties
**Energy relative to the elements, uncorrected**: 0.43 eV/atom
**N(E_F)**: 4.382 states/eV/f.u.

The structure in POSCAR format:
```
Ta2VSe
1.0
3.895 0.000 0.000
0.000 3.895 0.000
1.948 1.948 9.598
V Se Ta
2 2 4
Cartesian
1.948 3.895 4.799
1.948 1.948 0.000
0.000 0.000 0.000
3.895 1.948 4.799
2.921 2.913 7.198
0.965 2.921 2.399
4.869 4.878 7.198
2.930 0.974 2.399
```

=====

(3)
Compound: Ti9Tl2In
Source: the Alexandria database
Functional: PBE
Structure: relaxed

Properties
**Formation energy from the elements**: -0.0225 eV per atom
**N(E_F)**: 13.666 states/eV/f.u.

The structure in POSCAR format:
```
Ti9Tl2In
1.0
-2.263 1.081 -3.333
3.150 -1.109 -2.499
-4.605 -11.629 -0.643
Tl Ti In
2 9 1
Cartesian
-3.072 -7.759 -0.429
-1.532 -3.870 -0.214
-2.625 -7.765 -3.345
0.444 -0.014 -2.916
-1.092 -3.893 -3.130
-2.269 -10.262 -1.786
-0.727 -6.369 -1.571
-3.434 -5.274 -1.988
-4.976 -9.168 -2.203
-1.892 -1.381 -1.773
0.815 -2.476 -1.356
0.000 0.000 0.000
```

=====

(4)
Compound: Ho3Ga6Au5
Source: the Alexandria database
Functional: PBE
Structure: relaxed

Properties
**Formation energy from the elements**: -0.6090 eV per atom
**N(E_F)**: 6.176 states/eV/f.u.

The structure in POSCAR format:
```
Ho3Ga6Au5
1.0
-1.220 3.857 1.602
-9.114 -1.646 -2.978
-2.689 -5.538 11.290
Ga Ho Au
12 6 10
Cartesian
-1.893 -2.868 5.466
-5.382 -3.498 4.326
-9.265 -2.435 -1.192
-7.389 -4.704 5.702
-9.175 0.382 -1.998
-2.614 -1.722 8.065
-6.491 -2.855 1.932
-11.142 -6.303 6.693
-1.803 -0.051 4.660
-5.686 1.012 -0.858
-6.368 -3.320 9.056
-4.577 0.369 1.536
-3.105 -2.080 2.643
-9.580 -3.736 7.612
-7.963 -0.407 0.825
-2.292 -0.414 -0.749
-8.776 -2.072 4.217
-4.177 -4.288 7.146
-7.116 -5.655 8.199
-4.020 -2.979 10.023
-5.154 -1.614 -0.039
-5.914 -0.873 3.507
-6.641 -2.370 6.559
-7.014 -1.267 -2.292
-4.055 -1.220 5.760
-8.927 -3.378 1.335
-9.737 -5.045 4.735
-2.141 0.892 2.133
```

=====

(5)
Compound: Nd6Te3PRh2
Source: the Alexandria database
Functional: PBE
Structure: relaxed

Properties
**Energy relative to the elements, uncorrected**: -1.17 eV/atom
**N(E_F)**: 8.941 states/eV/f.u.

The structure in POSCAR format:
```
Nd6Te3PRh2
1.0
-0.807 -4.962 -5.431
-3.246 -1.129 6.554
-4.653 5.621 -2.745
Nd Te P Rh
6 3 1 2
Cartesian
-7.161 0.428 0.714
-6.340 -0.863 -3.323
-4.740 2.810 -1.863
-3.966 -3.279 0.241
-1.545 -0.898 -2.336
-2.366 0.394 1.701
-3.535 -1.520 -4.829
-5.171 1.050 3.207
-4.353 -0.235 -0.811
0.000 0.000 0.000
-2.435 -2.404 2.566
-1.619 -3.686 -1.443
```

=====

(6)
Compound: Ti2VFeBr
Source: the Alexandria database
Functional: PBE
Structure: relaxed

Properties
**Energy relative to the elements, uncorrected**: 0.49 eV/atom
**N(E_F)**: 4.813 states/eV/f.u.

The structure in POSCAR format:
```
Ti2VFeBr
1.0
4.576 0.000 0.000
0.000 4.439 0.000
0.000 0.000 4.576
Ti V Br Fe
2 1 1 1
Cartesian
2.288 0.000 0.000
0.000 0.000 2.288
0.000 2.220 0.000
2.288 2.220 2.288
0.000 0.000 0.000
```

=====

(7)
Compound: Rb3HfNp3Se8
Source: the Alexandria database
Functional: PBE
Structure: relaxed

Properties
**Energy relative to the elements, uncorrected**: -1.27 eV/atom
**N(E_F)**: 27.250 states/eV/f.u.

The structure in POSCAR format:
```
Rb3HfNp3Se8
1.0
-0.957 7.145 4.176
-6.686 -4.133 -2.772
4.438 -3.775 7.482
Np Se Hf Rb
3 8 1 3
Cartesian
1.740 1.685 5.829
-1.603 -0.381 4.443
-1.124 -3.954 2.355
-4.141 -1.245 5.587
-3.633 -5.030 3.375
0.935 0.482 3.299
-2.490 -1.447 1.905
-0.716 0.684 6.981
-3.113 2.079 4.044
-0.093 -2.841 4.842
0.427 4.267 5.511
2.219 -1.888 3.741
-3.343 -2.066 -1.386
-3.822 1.506 0.702
0.000 0.000 0.000
```

=====

(8)
Compound: ThZrSc2
Source: the Alexandria database
Functional: PBE
Structure: relaxed

Properties
**Formation energy from the elements**: 0.0133 eV per atom
**N(E_F)**: 3.910 states/eV/f.u.

The structure in POSCAR format:
```
ThZrSc2
1.0
4.750 0.000 0.000
0.000 4.641 0.000
0.000 0.000 4.641
Sc Zr Th
2 1 1
Cartesian
0.000 2.321 0.000
0.000 0.000 2.321
2.375 0.000 0.000
2.375 2.321 2.321
```

=====

(9)
Compound: LaThZn2
Source: the Alexandria database
Functional: PBE
Structure: relaxed

Properties
**Formation energy from the elements**: -0.2443 eV per atom
**N(E_F)**: 3.903 states/eV/f.u.

The structure in POSCAR format:
```
LaThZn2
1.0
3.707 0.000 0.000
0.000 3.707 0.000
0.000 0.000 7.429
La Th Zn
1 1 2
Cartesian
1.854 1.854 3.714
1.854 1.854 0.000
0.000 0.000 1.788
0.000 0.000 5.641
```

=====

(10)
Compound: NdU2CrC4
Source: the Alexandria database
Functional: PBE
Structure: relaxed

Properties
**Formation energy from the elements**: -0.0631 eV per atom
**N(E_F)**: 10.684 states/eV/f.u.

The structure in POSCAR format:
```
NdU2CrC4
1.0
-2.003 -1.125 -2.761
-3.032 -1.147 5.003
-5.041 10.539 -0.639
Nd U C Cr
2 4 8 2
Cartesian
-4.678 7.523 0.327
-5.397 0.743 1.276
-5.754 4.509 2.336
-4.321 3.757 -0.733
-2.287 -0.497 -0.475
-7.789 8.763 2.079
-6.113 5.138 0.004
0.000 0.000 0.000
-7.147 6.477 2.544
-3.963 3.128 1.600
-7.416 7.864 -0.162
-2.659 0.403 1.765
-2.520 5.269 -0.319
-2.929 1.789 -0.941
-2.500 2.109 0.954
-7.575 6.157 0.649
```